Entry w
V2ZnCuO7: optimized geometry, GGA-PBEsol.

Cell: 8.228 10.090 10.099 Å, 96.60 90.00 90.00°
Sites, in units of the cell vectors:
O 0.571 0.886 0.577
O 0.094 0.109 0.443
O 0.076 0.454 0.140
O 0.080 0.725 0.262
O 0.822 0.250 0.000
O 0.767 0.706 0.142
O 0.594 0.567 0.925
O 0.571 0.614 0.423
O 0.429 0.114 0.423
O 0.741 0.370 0.467
O 0.705 0.584 0.664
O 0.920 0.225 0.262
O 0.705 0.916 0.336
O 0.594 0.214 0.192
O 0.924 0.546 0.860
O 0.259 0.630 0.533
O 0.233 0.206 0.142
O 0.906 0.891 0.557
O 0.924 0.954 0.140
O 0.254 0.963 0.198
O 0.406 0.433 0.075
O 0.406 0.714 0.192
O 0.295 0.084 0.664
O 0.259 0.870 0.467
O 0.094 0.391 0.557
O 0.920 0.275 0.738
O 0.254 0.537 0.802
O 0.906 0.609 0.443
O 0.080 0.775 0.738
O 0.295 0.416 0.336
O 0.233 0.294 0.858
O 0.746 0.463 0.198
O 0.594 0.286 0.808
O 0.076 0.046 0.860
O 0.429 0.386 0.577
O 0.406 0.786 0.808
O 0.741 0.130 0.533
O 0.767 0.794 0.858
O 0.746 0.037 0.802
O 0.178 0.750 0.000
O 0.406 0.067 0.925
O 0.594 0.933 0.075
V 0.731 0.956 0.507
V 0.269 0.456 0.507
V 0.229 0.711 0.831
V 0.269 0.044 0.493
V 0.771 0.211 0.831
V 0.771 0.289 0.169
V 0.750 0.877 0.167
V 0.250 0.377 0.167
V 0.229 0.789 0.169
V 0.750 0.623 0.833
V 0.250 0.123 0.833
V 0.731 0.544 0.493
Zn 0.431 0.079 0.130
Zn 0.066 0.750 0.500
Zn 0.431 0.421 0.870
Zn 0.569 0.921 0.870
Zn 0.934 0.250 0.500
Zn 0.569 0.579 0.130
Cu 0.570 0.250 0.500
Cu 0.927 0.912 0.795
Cu 0.073 0.088 0.205
Cu 0.927 0.588 0.205
Cu 0.073 0.412 0.795
Cu 0.430 0.750 0.500

Output
For the volume, the calculation gives 138.8 Å³/f.u. The density of states at the Fermi level is 3.256 states/eV per cell. Its crystal system is monoclinic.

=====

Entry x
V2ZnCuO7: optimized geometry, GGA-PBEsol.

Cell: 5.545 5.545 10.076 Å, 103.68 103.68 93.28°
Sites, in units of the cell vectors:
O 0.980 0.495 0.625
O 0.861 0.691 0.390
O 0.642 0.815 0.869
O 0.962 0.795 0.147
O 0.049 0.521 0.889
O 0.678 0.322 0.000
O 0.205 0.038 0.853
O 0.185 0.358 0.131
O 0.005 0.221 0.350
O 0.309 0.139 0.610
O 0.779 0.995 0.650
O 0.479 0.951 0.111
O 0.505 0.020 0.375
O 0.361 0.639 0.500
Zn 0.909 0.769 0.772
Zn 0.231 0.091 0.228
Cu 0.728 0.880 0.263
Cu 0.120 0.272 0.737
V 0.046 0.506 0.464
V 0.973 0.501 0.042
V 0.494 0.954 0.536
V 0.499 0.027 0.958

Output
For the volume, the calculation gives 145.2 Å³/f.u. Its crystal system is monoclinic.

=====

Least stable: entry w

=====

Entry w
CuWO2: optimized geometry, GGA-PBEsol.

Cell: 3.744 3.744 3.744 Å, 60.00 60.00 60.00°
Sites, in units of the cell vectors:
W 0.500 0.500 0.500
Cu 0.000 0.000 0.000
O 0.750 0.750 0.750
O 0.250 0.250 0.250

Output
For the volume, the calculation gives 37.1 Å³/f.u. The density of states at the Fermi level is 1.490 states/eV per cell. Its crystal system is cubic.

=====

Entry x
CuWO2: optimized geometry, GGA-PBEsol.

Cell: 2.760 2.760 6.680 Å, 78.08 78.08 60.00°
Sites, in units of the cell vectors:
Cu 0.000 0.000 0.000
O 0.096 0.096 0.712
O 0.904 0.904 0.288
W 0.500 0.500 0.500

Output
For the volume, the calculation gives 42.8 Å³/f.u. The density of states at the Fermi level is 1.017 states/eV per cell. Its crystal system is trigonal.

=====

Least stable: entry w

=====

Entry w
Y2Cu2O5: optimized geometry, GGA-PBEsol.

Cell: 6.170 7.076 11.080 Å, 90.00 90.00 90.00°
Sites, in units of the cell vectors:
O 0.930 0.356 0.914
O 0.070 0.644 0.086
O 0.255 0.381 0.250
O 0.096 0.114 0.412
O 0.245 0.881 0.750
O 0.745 0.619 0.750
O 0.570 0.856 0.086
O 0.570 0.856 0.414
O 0.070 0.644 0.414
O 0.430 0.144 0.914
O 0.596 0.386 0.088
O 0.096 0.114 0.088
O 0.930 0.356 0.586
O 0.404 0.614 0.588
O 0.904 0.886 0.912
O 0.404 0.614 0.912
O 0.430 0.144 0.586
O 0.904 0.886 0.588
O 0.596 0.386 0.412
O 0.755 0.119 0.250
Cu 0.070 0.155 0.250
Cu 0.911 0.372 0.750
Cu 0.570 0.345 0.250
Cu 0.411 0.128 0.750
Cu 0.589 0.872 0.250
Cu 0.089 0.628 0.250
Cu 0.930 0.845 0.750
Cu 0.430 0.655 0.750
Y 0.750 0.120 0.479
Y 0.750 0.620 0.979
Y 0.250 0.380 0.479
Y 0.250 0.380 0.021
Y 0.750 0.120 0.021
Y 0.250 0.880 0.521
Y 0.750 0.620 0.521
Y 0.250 0.880 0.979

Output
For the volume, the calculation gives 120.9 Å³/f.u. The density of states at the Fermi level is 9.316 states/eV per cell. Its crystal system is orthorhombic.

=====

Entry x
Y2Cu2O5: optimized geometry, GGA-PBEsol.

Cell: 3.485 10.753 12.363 Å, 90.00 90.00 90.00°
Sites, in units of the cell vectors:
Y 0.283 0.292 0.000
Y 0.782 0.043 0.828
Y 0.718 0.543 0.828
Y 0.217 0.792 0.000
Y 0.282 0.457 0.328
Y 0.218 0.957 0.328
Y 0.783 0.208 0.500
Y 0.717 0.708 0.500
Cu 0.159 0.489 0.612
Cu 0.659 0.011 0.112
Cu 0.346 0.262 0.716
Cu 0.846 0.238 0.216
Cu 0.654 0.738 0.216
Cu 0.341 0.989 0.612
Cu 0.154 0.762 0.716
Cu 0.841 0.511 0.112
O 0.279 0.927 0.762
O 0.345 0.875 0.164
O 0.776 0.423 0.973
O 0.222 0.674 0.855
O 0.722 0.826 0.355
O 0.778 0.326 0.355
O 0.214 0.824 0.565
O 0.155 0.375 0.164
O 0.221 0.427 0.762
O 0.721 0.073 0.262
O 0.655 0.125 0.664
O 0.276 0.077 0.473
O 0.845 0.625 0.664
O 0.286 0.324 0.565
O 0.224 0.577 0.473
O 0.278 0.174 0.855
O 0.786 0.176 0.065
O 0.779 0.573 0.262
O 0.714 0.676 0.065
O 0.724 0.923 0.973

Output
For the volume, the calculation gives 115.8 Å³/f.u. Its crystal system is orthorhombic.

=====

Least stable: entry x

=====

Entry w
CuOs: optimized geometry, GGA-PBEsol.

Cell: 2.646 2.646 4.531 Å, 73.03 73.03 60.00°
Sites, in units of the cell vectors:
Os 0.500 0.500 0.500
Cu 0.000 0.000 0.000

Output
For the volume, the calculation gives 25.9 Å³/f.u. The density of states at the Fermi level is 1.579 states/eV per cell. Its crystal system is trigonal.

=====

Entry x
CuOs: optimized geometry, GGA-PBEsol.

Cell: 2.581 4.208 5.099 Å, 90.00 104.66 90.00°
Sites, in units of the cell vectors:
Os 0.564 0.750 0.128
Os 0.436 0.250 0.872
Cu 0.820 0.750 0.641
Cu 0.180 0.250 0.359

Output
For the volume, the calculation gives 26.8 Å³/f.u. The density of states at the Fermi level is 2.938 states/eV per cell. Its crystal system is orthorhombic.

=====

Entry y
CuOs: optimized geometry, GGA-PBEsol.

Cell: 3.838 3.838 4.831 Å, 90.00 90.00 120.00°
Sites, in units of the cell vectors:
Cu 0.667 0.333 0.750
Cu 0.333 0.667 0.250
Os 0.000 0.000 0.000
Os 0.000 0.000 0.500

Output
For the volume, the calculation gives 30.8 Å³/f.u. The density of states at the Fermi level is 4.725 states/eV per cell. Its crystal system is hexagonal.

=====

Entry z
CuOs: optimized geometry, GGA-PBEsol.

Cell: 2.722 2.722 6.907 Å, 90.00 90.00 90.00°
Sites, in units of the cell vectors:
Os 0.500 0.000 0.626
Os 0.000 0.500 0.374
Cu 0.500 0.000 0.111
Cu 0.000 0.500 0.889

Output
For the volume, the calculation gives 25.6 Å³/f.u. The density of states at the Fermi level is 3.177 states/eV per cell. Its crystal system is tetragonal.

=====

Least stable: entry y

=====

Entry w
CuOs3: optimized geometry, GGA-PBEsol.

Cell: 2.826 4.349 5.080 Å, 115.34 106.15 90.00°
Sites, in units of the cell vectors:
Os 0.734 0.234 0.467
Os 0.500 0.500 0.000
Os 0.266 0.766 0.533
Cu 0.000 0.000 0.000

Output
For the volume, the calculation gives 53.7 Å³/f.u. The density of states at the Fermi level is 3.453 states/eV per cell. Its crystal system is orthorhombic.

=====

Entry x
CuOs3: optimized geometry, GGA-PBEsol.

Cell: 2.691 4.584 4.655 Å, 99.15 106.80 90.00°
Sites, in units of the cell vectors:
Os 0.244 0.750 0.487
Os 0.756 0.250 0.513
Os 0.500 0.500 0.000
Cu 0.000 0.000 0.000

Output
For the volume, the calculation gives 54.2 Å³/f.u. The density of states at the Fermi level is 3.705 states/eV per cell. Its crystal system is monoclinic.

=====

Least stable: entry w

=====

Entry w
CuP2Os: optimized geometry, GGA-PBEsol.

Cell: 3.066 3.920 4.632 Å, 90.00 89.85 90.00°
Sites, in units of the cell vectors:
P 0.999 0.000 0.272
P 0.001 0.000 0.728
Cu 0.500 0.500 0.500
Os 0.000 0.500 0.000

Output
For the volume, the calculation gives 55.7 Å³/f.u. The density of states at the Fermi level is 1.782 states/eV per cell. Its crystal system is monoclinic.

=====

Entry x
CuP2Os: optimized geometry, GGA-PBEsol.

Cell: 2.998 4.048 5.142 Å, 90.88 90.00 111.73°
Sites, in units of the cell vectors:
P 0.974 0.947 0.046
P 0.276 0.551 0.536
Cu 0.557 0.115 0.710
Os 0.694 0.387 0.208

Output
For the volume, the calculation gives 58.0 Å³/f.u. The density of states at the Fermi level is 1.030 states/eV per cell. Its crystal system is monoclinic.

=====

Least stable: entry w

=====

Entry w
CuOsPb2: optimized geometry, GGA-PBEsol.

Cell: 3.409 4.286 5.361 Å, 90.00 90.00 90.00°
Sites, in units of the cell vectors:
Os 0.000 0.500 0.500
Cu 0.500 0.500 0.000
Pb 0.000 0.000 0.000
Pb 0.500 0.000 0.500

Output
For the volume, the calculation gives 78.3 Å³/f.u. The density of states at the Fermi level is 2.343 states/eV per cell. Its crystal system is orthorhombic.

=====

Entry x
CuOsPb2: optimized geometry, GGA-PBEsol.

Cell: 3.352 4.640 5.435 Å, 100.54 90.00 111.17°
Sites, in units of the cell vectors:
Pb 0.755 0.510 0.754
Pb 0.245 0.490 0.246
Cu 0.000 0.000 0.500
Os 0.500 0.000 0.000

Output
For the volume, the calculation gives 77.3 Å³/f.u. The density of states at the Fermi level is 2.819 states/eV per cell. Its crystal system is monoclinic.

=====

Least stable: entry w

=====

Entry w
Cu2OsPt: optimized geometry, GGA-PBEsol.

Cell: 2.625 2.625 8.791 Å, 90.00 90.00 118.12°
Sites, in units of the cell vectors:
Cu 0.000 0.000 0.749
Cu 0.000 0.000 0.251
Pt 0.500 0.500 0.000
Os 0.500 0.500 0.500

Output
For the volume, the calculation gives 53.4 Å³/f.u. The density of states at the Fermi level is 3.551 states/eV per cell. Its crystal system is orthorhombic.

=====

Entry x
Cu2OsPt: optimized geometry, GGA-PBEsol.

Cell: 2.697 2.697 7.117 Å, 90.00 90.00 90.00°
Sites, in units of the cell vectors:
Pt 0.500 0.500 0.756
Cu 0.500 0.500 0.239
Cu 0.000 0.000 0.015
Os 0.000 0.000 0.490

Output
For the volume, the calculation gives 51.8 Å³/f.u. The density of states at the Fermi level is 2.893 states/eV per cell. Its crystal system is tetragonal.

=====

Entry y
Cu2OsPt: optimized geometry, GGA-PBEsol.

Cell: 2.633 3.810 5.243 Å, 90.00 90.03 90.00°
Sites, in units of the cell vectors:
Os 0.000 0.000 0.501
Cu 0.000 0.000 0.012
Cu 0.500 0.500 0.242
Pt 0.500 0.500 0.745

Output
For the volume, the calculation gives 52.6 Å³/f.u. The density of states at the Fermi level is 3.722 states/eV per cell. Its crystal system is orthorhombic.

=====

Least stable: entry w

=====

Entry w
Cu2OsPt: optimized geometry, GGA-PBEsol.

Cell: 2.725 4.358 4.358 Å, 90.00 90.00 90.00°
Sites, in units of the cell vectors:
Pt 0.500 0.000 0.000
Os 0.500 0.500 0.500
Cu 0.000 0.500 0.000
Cu 0.000 0.000 0.500

Output
For the volume, the calculation gives 51.7 Å³/f.u. The density of states at the Fermi level is 5.296 states/eV per cell. Its crystal system is tetragonal.

=====

Entry x
Cu2OsPt: optimized geometry, GGA-PBEsol.

Cell: 2.706 4.395 5.071 Å, 115.68 105.47 90.00°
Sites, in units of the cell vectors:
Cu 0.741 0.241 0.481
Cu 0.009 0.009 0.018
Os 0.495 0.495 0.990
Pt 0.256 0.756 0.511

Output
For the volume, the calculation gives 51.9 Å³/f.u. The density of states at the Fermi level is 4.881 states/eV per cell. Its crystal system is orthorhombic.

=====

Least stable: entry w